1.
# PBE-GGA CeYGePt, relaxed
# Formation energy from the elements: -0.64 eV/atom
# Total DFT energy (no corrections): -6.41 eV per atom
# Total magnetic moment: 1.87 μB per cell
data_CeYGePt
_chemical_formula_sum 'Ce2 Y2 Ge2 Pt2'
_space_group_name_H-M_alt 'P 4/n m m'
_space_group_IT_number 129
_cell_length_a 4.566
_cell_length_b 4.566
_cell_length_c 10.447
_cell_angle_alpha 90.00
_cell_angle_beta 90.00
_cell_angle_gamma 90.00
loop_
_space_group_symop_operation_xyz
'x,y,z'
'-x,-y,-z'
'-y+1/2,x,z'
'y+1/2,-x,-z'
'-x+1/2,-y+1/2,z'
'x+1/2,y+1/2,-z'
'y,-x+1/2,z'
'-y,x+1/2,-z'
'x+1/2,-y,-z'
'-x+1/2,y,z'
'-y,-x,-z'
'y,x,z'
'-x,y+1/2,-z'
'x,-y+1/2,z'
'y+1/2,x+1/2,-z'
'-y+1/2,-x+1/2,z'
loop_
_atom_site_label
_atom_site_type_symbol
_atom_site_fract_x
_atom_site_fract_y
_atom_site_fract_z
_atom_site_occupancy
Ce1 Ce 0.250 0.250 0.163 1
Y1 Y 0.250 0.750 0.500 1
Ge1 Ge 0.250 0.250 0.891 1
Pt1 Pt 0.250 0.250 0.660 1



2.
# PBE-GGA BaLa2Ir, relaxed
# Formation energy from the elements: -0.22 eV/atom
# Total DFT energy (no corrections): -5.38 eV per atom
# Total magnetic moment: 0.01 μB per cell
data_BaLa2Ir
_chemical_formula_sum 'Ba2 La4 Ir2'
_space_group_name_H-M_alt 'I m m 2'
_space_group_IT_number 44
_cell_length_a 3.711
_cell_length_b 4.691
_cell_length_c 16.961
_cell_angle_alpha 90.00
_cell_angle_beta 90.00
_cell_angle_gamma 90.00
loop_
_space_group_symop_operation_xyz
'x,y,z'
'-x,-y,z'
'-x,y,z'
'x,-y,z'
'x+1/2,y+1/2,z+1/2'
'-x+1/2,-y+1/2,z+1/2'
'-x+1/2,y+1/2,z+1/2'
'x+1/2,-y+1/2,z+1/2'
loop_
_atom_site_label
_atom_site_type_symbol
_atom_site_fract_x
_atom_site_fract_y
_atom_site_fract_z
_atom_site_occupancy
Ba1 Ba 0.000 0.000 0.000 1
La1 La 0.000 0.000 0.320 1
La2 La 0.000 0.500 0.169 1
Ir1 Ir 0.000 0.500 0.688 1



3.
# PBE-GGA GdTmInGa, relaxed
# Formation energy from the elements: -0.49 eV/atom
# Total DFT energy (no corrections): -6.57 eV per atom
# Total magnetic moment: 28.64 μB per cell
data_GdTmInGa
_chemical_formula_sum 'Gd4 Tm4 In4 Ga4'
_space_group_name_H-M_alt 'F -4 3 m'
_space_group_IT_number 216
_space_group_name_Hall 'F -4 2 3'
_cell_length_a 7.342
_cell_length_b 7.342
_cell_length_c 7.342
_cell_angle_alpha 90.00
_cell_angle_beta 90.00
_cell_angle_gamma 90.00
loop_
_atom_site_label
_atom_site_type_symbol
_atom_site_fract_x
_atom_site_fract_y
_atom_site_fract_z
_atom_site_occupancy
Gd1 Gd 0.000 0.000 0.000 1
Tm1 Tm 0.000 0.000 0.500 1
In1 In 0.250 0.250 0.750 1
Ga1 Ga 0.250 0.250 0.250 1



4.
# PBE-GGA Rb2TaS, relaxed
# Energy relative to the elements, uncorrected: 0.279 eV/atom
# Total DFT energy (no corrections): -4.20 eV per atom
# Total magnetic moment: 11.98 μB per cell
data_Rb2TaS
_chemical_formula_sum 'Rb8 Ta4 S4'
_space_group_name_H-M_alt 'I -4 2 d'
_space_group_IT_number 122
_space_group_name_Hall 'I -4 2bw'
_cell_length_a 13.079
_cell_length_b 13.079
_cell_length_c 4.731
_cell_angle_alpha 90.00
_cell_angle_beta 90.00
_cell_angle_gamma 90.00
loop_
_atom_site_label
_atom_site_type_symbol
_atom_site_fract_x
_atom_site_fract_y
_atom_site_fract_z
_atom_site_occupancy
Rb1 Rb 0.061 0.250 0.125 1
Ta1 Ta 0.000 0.000 0.500 1
S1 S 0.000 0.000 0.000 1